# Eu2RuI

A relaxed structure of Eu2RuI (PBE, the Alexandria database).

Properties
As for the volume: 27.33 Å³/atom. The space-group type is P4/mmm, No. 123. As for the total energy: -33.07 eV/cell.

Lattice parameters (Å, degrees): 3.644 3.644 8.234 90.00 90.00 90.00
Positions (direct):
Eu: 0.000 0.000 0.207
Eu: 0.000 0.000 0.793
Ru: 0.500 0.500 0.000
I: 0.500 0.500 0.500